Ba2Li4Sn3 | GGA-PBE | optimized geometry

Cell: 6.1538 17.8371 8.9521 Å, 90.00 90.00 90.00°
With the nearest neighbours (Å) after each atom.
Space group Cmce (No. 64)
One atom of each set of equivalent atoms:
Ba: 0.0000 0.1070 0.0976 x8  8 Li 3.46-3.86, 4 Sn 3.59-3.72
Li: 0.0000 0.1833 0.4936 x8  4 Sn 2.88-3.10
Li: 0.2500 0.0697 0.7500 x8  3 Sn 2.82-2.99, 2 Li 3.08
Sn: 0.0000 0.0000 0.5000 x4  6 Li 2.99-3.27
Sn: 0.2500 0.2279 0.7500 x8  5 Li 2.82-3.10, 2 Sn 3.08

Crystal system ... orthorhombic
Formation energy from the elements ... -0.42 eV/atom
E ... -3.0310 eV per atom

***

ZnCrTe3 | GGA-PBE | optimized geometry

Cell: 5.2263 5.2263 5.2263 Å, 90.00 90.00 90.00°
With the nearest neighbours (Å) after each atom.
Space group Pm-3m (No. 221)
One atom of each set of equivalent atoms:
Zn: 0.0000 0.0000 0.0000 x1  12 Te 3.70
Cr: 0.5000 0.5000 0.5000 x1  6 Te 2.61
Te: 0.0000 0.5000 0.5000 x3  2 Cr 2.61

ΔE to the lowest computed polymorph ... 0 meV per atom
Energy relative to the elements, uncorrected ... 0.41 eV/atom
Crystal system ... cubic
E ... -3.6581 eV per atom

***

BaTl4Hg | GGA-PBE | optimized geometry

Cell: 5.0201 18.9973 8.1314 Å, 90.00 90.00 90.00°
With the nearest neighbours (Å) after each atom.
Space group Cmcm (No. 63)
One atom of each set of equivalent atoms:
Ba: 0.0000 0.1269 0.2500 x4  5 Tl 3.56-3.61, 2 Hg 3.78
Tl: 0.0000 0.0605 0.7500 x4  1 Hg 3.12, 4 Tl 3.43
Tl: 0.0000 0.3269 0.0505 x8  3 Hg 3.12-3.14, 2 Tl 3.24-3.31
Tl: 0.0000 0.5000 0.0000 x4  6 Tl 3.31-3.43
Hg: 0.0000 0.2246 0.7500 x4  7 Tl 3.12-3.14

ΔE to the lowest computed polymorph ... 2 meV per atom
Crystal system ... orthorhombic
Formation energy from the elements ... -0.23 eV/atom
E ... -2.1775 eV per atom

***

Er6InTe5 | GGA-PBE | optimized geometry

Cell: 7.5302 13.0066 7.5100 Å, 90.00 109.35 90.00°
With the nearest neighbours (Å) after each atom.
Space group C2/m (No. 12)
One atom of each set of equivalent atoms:
Er: 0.2373 0.0000 0.2537 x4  1 In 2.97, 5 Te 3.08-3.17
Er: 0.2401 0.1609 0.7409 x8  1 In 2.96, 5 Te 3.07-3.13
In: 0.0000 0.0000 0.5000 x2  6 Er 2.96-2.97
Te: 0.0000 0.1726 0.0000 x4  6 Er 3.07-3.13
Te: 0.0000 0.3351 0.5000 x4  6 Er 3.07-3.08
Te: 0.0000 0.5000 0.0000 x2  6 Er 3.08-3.17

Energy relative to the elements, uncorrected ... -1.11 eV/atom
Crystal system ... monoclinic
E ... -4.9294 eV per atom

***

OsWSeN2 | GGA-PBE | optimized geometry

Cell: 3.7955 3.7955 5.5433 Å, 90.00 90.00 90.00°
With the nearest neighbours (Å) after each atom.
Space group P4/mmm (No. 123)
One atom of each set of equivalent atoms:
Os: 0.0000 0.0000 0.0000 x1  4 N 1.90
W: 0.5000 0.5000 0.5000 x1  4 Se 2.68
Se: 0.0000 0.0000 0.5000 x1  4 W 2.68, 2 Os 2.77
N: 0.0000 0.5000 0.0000 x2  2 Os 1.90

ΔE to the lowest computed polymorph ... 123 meV per atom
Energy relative to the elements, uncorrected ... 1.32 eV/atom
Crystal system ... tetragonal
E ... -7.5410 eV per atom

***

Ho12Er7Sc | GGA-PBE | optimized geometry

Cell: 11.8104 11.8104 15.7508 Å, 90.00 90.00 120.00°
With the nearest neighbours (Å) after each atom.
Space group R-3 (No. 148, hexagonal axes)
One atom of each set of equivalent atoms:
Ho: 0.0250 0.5732 0.2215 x18  5 Er 3.22-3.50, 2 Ho 3.49-3.50
Ho: 0.0584 0.8690 0.2911 x18  7 Ho 3.34-3.73, 3 Er 3.50-3.74
Er: 0.0000 0.0000 0.5000 x3  6 Ho 3.35
Er: 0.0638 0.4778 0.5827 x18  1 Sc 3.12, 1 Er 3.18, 4 Ho 3.22-3.50
Sc: 0.0000 0.0000 0.0000 x3  6 Er 3.12

ΔE to the lowest computed polymorph ... 0 meV per atom
Crystal system ... trigonal
Formation energy from the elements ... 0.24 eV/atom
E ... -4.4200 eV per atom

***

K2BeAg | GGA-PBE | optimized geometry

Cell: 12.4464 12.4464 4.5766 Å, 90.00 90.00 90.00°
With the nearest neighbours (Å) after each atom.
Space group I-42d (No. 122)
One atom of each set of equivalent atoms:
K: 0.0693 0.2500 0.1250 x8  2 Ag 3.28, 2 Be 3.66
Be: 0.0000 0.0000 0.5000 x4  2 Ag 2.29
Ag: 0.0000 0.0000 0.0000 x4  2 Be 2.29

Crystal system ... tetragonal
Formation energy from the elements ... 0.43 eV/atom
E ... -1.7639 eV per atom

***

Cd2AgPb | GGA-PBE | optimized geometry

Cell: 3.1609 4.7601 13.4301 Å, 90.00 90.00 90.00°
With the nearest neighbours (Å) after each atom.
Space group Imm2 (No. 44)
One atom of each set of equivalent atoms:
Cd: 0.0000 0.0000 0.0000 x2  2 Ag 2.94, 4 Cd 3.16-3.28, 4 Pb 3.25
Cd: 0.0000 0.5000 0.1682 x2  4 Ag 2.87, 2 Cd 3.16
Ag: 0.0000 0.5000 0.6843 x2  6 Cd 2.87-2.94, 2 Pb 3.12, 2 Ag 3.16
Pb: 0.0000 0.0000 0.3845 x2  2 Ag 3.12, 2 Pb 3.16, 4 Cd 3.25

Crystal system ... orthorhombic
Formation energy from the elements ... 0.05 eV/atom
E ... -2.0520 eV per atom

***

K9SeO3 | GGA-PBE | optimized geometry

Cell: 9.7231 9.7231 5.3072 Å, 90.00 90.00 120.00°
With the nearest neighbours (Å) after each atom.
Space group P6/mmm (No. 191)
One atom of each set of equivalent atoms:
K: 0.0000 0.5000 0.0000 x3  2 O 2.65
K: 0.1913 0.3826 0.5000 x6  2 O 2.62
Se: 0.0000 0.0000 0.0000 x1  12 K 4.17
O: 0.0000 0.5000 0.5000 x3  6 K 2.62-2.65

Energy relative to the elements, uncorrected ... -0.84 eV/atom
Crystal system ... hexagonal
E ... -3.0105 eV per atom

***

GeTeP | GGA-PBE | optimized geometry

Cell: 3.9081 3.9081 4.9611 Å, 90.00 90.00 120.00°
With the nearest neighbours (Å) after each atom.
Space group P3m1 (No. 156)
One atom of each set of equivalent atoms:
Ge: 0.0000 0.0000 0.0000 x1  3 P 2.57
Te: 0.6667 0.3333 0.3789 x1  3 P 2.92, 3 Ge 2.94
P: 0.3333 0.6667 0.7525 x1  3 Ge 2.57

ΔE to the lowest computed polymorph ... 52 meV per atom
Energy relative to the elements, uncorrected ... 0.18 eV/atom
Crystal system ... trigonal
E ... -4.2095 eV per atom

***

PmSm6YTm2 | GGA-PBE | optimized geometry

Cell: 9.1831 15.2103 9.6521 Å, 90.00 97.56 90.00°
With the nearest neighbours (Å) after each atom.
Space group C2/c (No. 15)
One atom of each set of equivalent atoms:
Pm: 0.0000 0.0923 0.2500 x4  6 Sm 3.45-3.58, 2 Tm 3.58
Sm: 0.0631 0.3204 0.4458 x8  7 Sm 3.42-3.81, 1 Tm 3.47, 1 Y 3.68
Sm: 0.1005 0.1067 0.6204 x8  3 Sm 3.24-3.42, 3 Tm 3.29-3.45, 2 Pm 3.45-3.58
Sm: 0.2078 0.2736 0.8165 x8  3 Sm 3.24-3.63, 1 Tm 3.45, 1 Pm 3.50, 1 Y 3.59
Y: 0.0000 0.4728 0.7500 x4  4 Tm 3.42, 4 Sm 3.59-3.68
Tm: 0.2474 0.4491 0.0451 x8  6 Sm 3.29-3.64, 2 Y 3.42, 1 Pm 3.58

Crystal system ... monoclinic
Formation energy from the elements ... 0.12 eV/atom
E ... -4.7300 eV per atom

***

ThSi2 | GGA-PBE | optimized geometry

Cell: 5.7704 5.9760 4.2347 Å, 90.00 111.95 90.00°
With the nearest neighbours (Å) after each atom.
Space group C2/m (No. 12)
One atom of each set of equivalent atoms:
Th: 0.0000 0.0000 0.0000 x2  10 Si 3.03-3.20
Si: 0.0950 0.5000 0.2940 x4  2 Si 2.32-2.38

Energy relative to the elements, uncorrected ... -0.37 eV/atom
Crystal system ... monoclinic
E ... -6.4555 eV per atom

***

AsPd2Br | GGA-PBE | optimized geometry

Cell: 6.5627 6.5627 6.5627 Å, 90.00 90.00 90.00°
With the nearest neighbours (Å) after each atom.
Space group Fm-3m (No. 225)
One atom of each set of equivalent atoms:
As: 0.0000 0.0000 0.0000 x4  8 Pd 2.84
Pd: 0.2500 0.2500 0.2500 x8  4 As 2.84, 4 Br 2.84
Br: 0.0000 0.0000 0.5000 x4  8 Pd 2.84

ΔE to the lowest computed polymorph ... 172 meV per atom
Energy relative to the elements, uncorrected ... 0.09 eV/atom
Crystal system ... cubic
E ... -4.0846 eV per atom

***

RbMgBiAs2 | GGA-PBE | optimized geometry

Cell: 5.6876 5.6876 5.6643 Å, 90.00 90.00 90.00°
With the nearest neighbours (Å) after each atom.
Space group P4/mmm (No. 123)
One atom of each set of equivalent atoms:
Rb: 0.0000 0.0000 0.0000 x1  8 As 4.01, 4 Mg 4.02
Mg: 0.5000 0.5000 0.0000 x1  2 Bi 2.83
Bi: 0.5000 0.5000 0.5000 x1  2 Mg 2.83, 4 As 2.84
As: 0.0000 0.5000 0.5000 x2  2 Bi 2.84

Crystal system ... tetragonal
Formation energy from the elements ... 0.37 eV/atom
E ... -2.7774 eV per atom

***

CsRbIn2Te4 | GGA-PBE | optimized geometry

Cell: 8.6866 9.0189 9.8721 Å, 90.00 90.00 90.00°
With the nearest neighbours (Å) after each atom.
Space group I222 (No. 23)
One atom of each set of equivalent atoms:
Cs: 0.0000 0.0000 0.0000 x2  8 Te 4.01-4.03
Rb: 0.0000 0.0000 0.5000 x2  8 Te 3.88-4.16
In: 0.0000 0.5000 0.2369 x4  2 Te 2.62
Te: 0.2157 0.2967 0.7607 x8  1 In 2.62

Energy relative to the elements, uncorrected ... -0.46 eV/atom
Crystal system ... orthorhombic
E ... -2.9459 eV per atom

***

YMg2Si2 | GGA-PBE | optimized geometry

Cell: 4.7219 4.7219 9.6965 Å, 90.00 90.00 90.00°
With the nearest neighbours (Å) after each atom.
Space group I4/mmm (No. 139)
One atom of each set of equivalent atoms:
Y: 0.0000 0.0000 0.0000 x2  8 Si 3.38, 10 Mg 3.51-3.60
Mg: 0.0000 0.0000 0.3616 x4  4 Si 2.60, 1 Mg 2.68
Si: 0.0000 0.5000 0.2500 x4  4 Mg 2.60

ΔE to the lowest computed polymorph ... 367 meV per atom
Energy relative to the elements, uncorrected ... 0.00 eV/atom
Crystal system ... tetragonal
E ... -4.1046 eV per atom

***

AcTb6Sm3Y2 | GGA-PBE | optimized geometry

Cell: 6.2610 10.8394 11.9918 Å, 90.00 99.99 90.00°
With the nearest neighbours (Å) after each atom.
Space group C2/m (No. 12)
One atom of each set of equivalent atoms:
Ac: 0.0000 0.0000 0.0000 x2  6 Y 3.61, 6 Tb 3.65
Tb: 0.2472 0.3322 0.7471 x8  3 Sm 3.58-3.59, 6 Tb 3.60-3.64, 2 Y 3.64, 1 Ac 3.65
Tb: 0.2491 0.5000 0.2531 x4  3 Sm 3.58-3.59, 6 Tb 3.60-3.64, 2 Y 3.64, 1 Ac 3.65
Sm: 0.0000 0.1671 0.5000 x4  6 Tb 3.58-3.59, 6 Sm 3.61-3.62
Sm: 0.0000 0.5000 0.5000 x2  6 Tb 3.58-3.59, 6 Sm 3.61-3.62
Y: 0.0000 0.3333 0.0000 x4  3 Ac 3.61, 3 Y 3.61, 6 Tb 3.64

Crystal system ... monoclinic
Formation energy from the elements ... 0.03 eV/atom
E ... -4.8890 eV per atom

***

Rb2PuCu2Se4 | GGA-PBE | optimized geometry

Cell: 15.1195 4.1527 8.1453 Å, 90.00 108.84 90.00°
With the nearest neighbours (Å) after each atom.
Space group C2/m (No. 12)
One atom of each set of equivalent atoms:
Rb: 0.1357 0.0000 0.0629 x4  7 Se 3.45-3.64, 1 Cu 3.83
Pu: 0.0000 0.0000 0.5000 x2  6 Se 2.86-2.87
Cu: 0.1804 0.5000 0.4859 x4  4 Se 2.47-2.53
Se: 0.0215 0.5000 0.2733 x4  1 Cu 2.47
Se: 0.1983 0.0000 0.6668 x4  3 Cu 2.51-2.53

Energy relative to the elements, uncorrected ... -0.97 eV/atom
Crystal system ... monoclinic
E ... -5.2383 eV per atom

***

Sm2TmAl2Zn2 | GGA-PBE | optimized geometry

Cell: 4.5009 4.5009 27.6949 Å, 90.00 90.00 120.00°
With the nearest neighbours (Å) after each atom.
Space group R-3m (No. 166, hexagonal axes)
One atom of each set of equivalent atoms:
Sm: 0.0000 0.0000 0.1258 x6  3 Al 3.11, 3 Zn 3.20, 3 Sm 3.45
Tm: 0.0000 0.0000 0.0000 x3  6 Zn 3.06, 6 Al 3.15
Al: 0.0000 0.0000 0.2691 x6  3 Zn 2.60
Zn: 0.0000 0.0000 0.3919 x6  3 Al 2.60

Crystal system ... trigonal
Formation energy from the elements ... -0.31 eV/atom
E ... -3.7324 eV per atom

***

KThTe4Pb2 | GGA-PBE | optimized geometry

Cell: 6.5789 6.5789 13.2170 Å, 90.00 90.00 90.00°
With the nearest neighbours (Å) after each atom.
Space group I-4m2 (No. 119)
One atom of each set of equivalent atoms:
K: 0.0000 0.0000 0.0000 x2  6 Te 3.29-3.41
Th: 0.0000 0.5000 0.7500 x2  6 Te 3.12-3.29
Te: 0.0000 0.0000 0.2583 x4  3 Pb 3.19-3.29, 2 Th 3.29, 1 K 3.41
Te: 0.0000 0.5000 0.5137 x4  1 Th 3.12, 2 K 3.29, 3 Pb 3.29-3.49
Pb: 0.0000 0.0000 0.5000 x2  6 Te 3.19-3.29
Pb: 0.0000 0.5000 0.2500 x2  6 Te 3.29-3.49

Energy relative to the elements, uncorrected ... -0.69 eV/atom
Crystal system ... tetragonal
E ... -4.2506 eV per atom